# 1
! PBE-GGA Nd8MgAl2, relaxed; values from VASP
! Energy above the lowest structure with this stoichiometry ... 0 meV per atom
! Space group ... No. 12
&SYSTEM
  ibrav = 0, nat = 11, ntyp = 3
/
ATOMIC_SPECIES
Nd 144.24 Nd.upf
Mg 24.30 Mg.upf
Al 26.98 Al.upf
ATOMIC_POSITIONS angstrom
Nd 0.000 1.844 6.701
Nd 2.523 6.410 3.109
Nd 2.523 3.968 5.580
Nd 2.523 -0.733 7.674
Nd 0.000 0.967 2.926
Nd 0.000 -1.475 5.397
Nd 2.523 3.091 1.805
Nd 0.000 5.668 0.832
Mg 2.523 0.000 0.000
Al 2.523 0.814 4.878
Al 0.000 4.121 3.628
CELL_PARAMETERS angstrom
5.046 0.000 0.000
0.000 8.063 0.215
-2.523 -3.128 8.291

# 2
! PBE-GGA NdMgAl, relaxed; values from VASP
! Space group ... No. 107
&SYSTEM
  ibrav = 0, nat = 3, ntyp = 3
/
ATOMIC_SPECIES
Mg 24.30 Mg.upf
Nd 144.24 Nd.upf
Al 26.98 Al.upf
ATOMIC_POSITIONS angstrom
Mg 1.722 1.722 1.738
Nd 1.722 1.722 5.472
Al 0.000 0.000 3.418
CELL_PARAMETERS angstrom
3.444 0.000 0.000
0.000 3.444 0.000
-1.722 -1.722 6.252

Number 1: D(E_F) 13.511 states/eV/f.u., formation energy -10.8 kJ per mole of atoms, total magnetic moment 0.000 μB per atom. Number 2: D(E_F) 1.652 states/eV/f.u., formation energy -16.0 kJ per mole of atoms, total magnetic moment 0.000 μB per atom.